Compound: TePPdO
Source: OQMD
Functional: PBE
Structure: relaxed

Summary:
* volume: 21.3 Å³/atom
* symmetry: No. 129
* energy: -4.36 eV/atom
* energy above the lowest structure with this stoichiometry: 424 meV per atom
* calculated density: 5.480 g cm⁻³

Unit cell a=4.4304 b=4.4304 c=8.6759 alpha=90.00 beta=90.00 gamma=90.00
Atoms (fractional coordinates):
Te 0.2500 0.7500 0.0000
Te 0.7500 0.2500 0.0000
P 0.2500 0.2500 0.2079
P 0.7500 0.7500 0.7921
Pd 0.2500 0.2500 0.4592
Pd 0.7500 0.7500 0.5408
O 0.2500 0.7500 0.5000
O 0.7500 0.2500 0.5000


Compound: TePPdO
Source: OQMD
Functional: PBE
Structure: relaxed

Summary:
* volume: 19.0 Å³/atom
* symmetry: No. 26
* energy: -4.77 eV/atom
* energy above the lowest structure with this stoichiometry: 18 meV per atom
* calculated density: 6.133 g cm⁻³

Unit cell a=4.0294 b=6.2869 c=6.0063 alpha=90.00 beta=90.00 gamma=90.00
Atoms (fractional coordinates):
Te 0.0000 0.2192 0.0000
Te 0.0000 0.7808 0.5000
P 0.0000 0.1895 0.4323
P 0.0000 0.8105 0.9323
Pd 0.5000 0.3210 0.5630
Pd 0.5000 0.6790 0.0630
O 0.5000 0.3008 0.9863
O 0.5000 0.6992 0.4863


Compound: TePPdO
Source: OQMD
Functional: PBE
Structure: relaxed

Summary:
* volume: 15.9 Å³/atom
* symmetry: No. 129
* energy: -4.79 eV/atom
* energy above the lowest structure with this stoichiometry: 0 meV per atom
* calculated density: 7.350 g cm⁻³

Unit cell a=3.8670 b=3.8670 c=8.4909 alpha=90.00 beta=90.00 gamma=90.00
Atoms (fractional coordinates):
Te 0.2500 0.2500 0.1541
Te 0.7500 0.7500 0.8459
P 0.2500 0.2500 0.6774
P 0.7500 0.7500 0.3226
Pd 0.2500 0.7500 0.5000
Pd 0.7500 0.2500 0.5000
O 0.2500 0.7500 0.0000
O 0.7500 0.2500 0.0000


Compound: Tl2P4Pd3O14
Source: OQMD
Functional: PBE
Structure: relaxed

Summary:
* volume: 14.8 Å³/atom
* symmetry: No. 74
* energy: -6.40 eV/atom
* calculated density: 5.238 g cm⁻³

Unit cell a=9.8887 b=9.8887 c=9.8887 alpha=119.40 beta=89.77 gamma=120.87
Atoms (fractional coordinates):
Tl 0.2143 0.1817 0.0325
Tl 0.3508 0.8183 0.5325
Tl 0.6492 0.1817 0.4675
Tl 0.7857 0.8183 0.9675
P 0.1186 0.2526 0.4313
P 0.1186 0.6874 0.8661
P 0.3213 0.2526 0.6339
P 0.3213 0.6874 0.0687
P 0.6787 0.3126 0.9313
P 0.6787 0.7474 0.3661
P 0.8814 0.3126 0.1339
P 0.8814 0.7474 0.5687
Pd 0.0000 0.5000 0.5000
Pd 0.1909 0.9409 0.2500
Pd 0.5000 0.0000 0.0000
Pd 0.5000 0.5000 0.0000
Pd 0.5000 0.5000 0.5000
Pd 0.8091 0.0591 0.7500
O 0.0374 0.4654 0.2868
O 0.0374 0.7506 0.5720
O 0.0764 0.0685 0.2729
O 0.0764 0.8035 0.0080
O 0.1598 0.2444 0.5846
O 0.1598 0.5751 0.9154
O 0.2692 0.4403 0.4617
O 0.2692 0.8075 0.8289
O 0.2955 0.0685 0.4920
O 0.2955 0.8035 0.2271
O 0.3214 0.2494 0.7868
O 0.3214 0.5346 0.0720
O 0.4786 0.4403 0.6711
O 0.4786 0.8075 0.0383
O 0.5214 0.1925 0.9617
O 0.5214 0.5597 0.3289
O 0.6786 0.4654 0.9280
O 0.6786 0.7506 0.2132
O 0.7045 0.1965 0.7729
O 0.7045 0.9315 0.5080
O 0.7308 0.1925 0.1711
O 0.7308 0.5597 0.5383
O 0.8402 0.4249 0.0846
O 0.8402 0.7556 0.4154
O 0.9236 0.1965 0.9920
O 0.9236 0.9315 0.7271
O 0.9626 0.2494 0.4280
O 0.9626 0.5346 0.7132


Compound: TlPPdO
Source: OQMD
Functional: PBE
Structure: relaxed

Summary:
* volume: 20.7 Å³/atom
* symmetry: No. 129
* energy: -4.25 eV/atom
* energy above the lowest structure with this stoichiometry: 459 meV per atom
* calculated density: 7.159 g cm⁻³

Unit cell a=4.3383 b=4.3383 c=8.8185 alpha=90.00 beta=90.00 gamma=90.00
Atoms (fractional coordinates):
Tl 0.2500 0.7500 0.0000
Tl 0.7500 0.2500 0.0000
P 0.2500 0.2500 0.1979
P 0.7500 0.7500 0.8021
Pd 0.2500 0.2500 0.4549
Pd 0.7500 0.7500 0.5451
O 0.2500 0.7500 0.5000
O 0.7500 0.2500 0.5000


Compound: TlPPdO
Source: OQMD
Functional: PBE
Structure: relaxed

Summary:
* volume: 19.7 Å³/atom
* symmetry: No. 26
* energy: -4.59 eV/atom
* energy above the lowest structure with this stoichiometry: 127 meV per atom
* calculated density: 7.534 g cm⁻³

Unit cell a=3.4621 b=6.8476 c=6.6530 alpha=90.00 beta=90.00 gamma=90.00
Atoms (fractional coordinates):
Tl 0.0000 0.1708 0.0000
Tl 0.0000 0.8292 0.5000
P 0.0000 0.2052 0.4035
P 0.0000 0.7948 0.9035
Pd 0.5000 0.3569 0.5535
Pd 0.5000 0.6431 0.0535
O 0.5000 0.3557 0.8809
O 0.5000 0.6443 0.3809


Compound: TlPPdO
Source: OQMD
Functional: PBE
Structure: relaxed

Summary:
* volume: 18.4 Å³/atom
* symmetry: No. 129
* energy: -4.71 eV/atom
* energy above the lowest structure with this stoichiometry: 0 meV per atom
* calculated density: 8.064 g cm⁻³

Unit cell a=4.1229 b=4.1229 c=8.6681 alpha=90.00 beta=90.00 gamma=90.00
Atoms (fractional coordinates):
Tl 0.2500 0.2500 0.1220
Tl 0.7500 0.7500 0.8780
P 0.2500 0.2500 0.6420
P 0.7500 0.7500 0.3580
Pd 0.2500 0.7500 0.5000
Pd 0.7500 0.2500 0.5000
O 0.2500 0.7500 0.0000
O 0.7500 0.2500 0.0000


Compound: TlPPdO4
Source: OQMD
Functional: PBE
Structure: relaxed

Summary:
* volume: 18.5 Å³/atom
* symmetry: No. 140
* energy: -6.08 eV/atom
* calculated density: 5.202 g cm⁻³

Unit cell a=7.2418 b=7.2418 c=7.2418 alpha=122.19 beta=122.19 gamma=86.24
Atoms (fractional coordinates):
Tl 0.2500 0.2500 0.0000
Tl 0.7500 0.7500 0.0000
P 0.2500 0.7500 0.5000
P 0.7500 0.2500 0.5000
Pd 0.0000 0.5000 0.5000
Pd 0.5000 0.0000 0.5000
O 0.0341 0.5341 0.2538
O 0.2197 0.9659 0.5000
O 0.2803 0.7803 0.7462
O 0.4659 0.7197 0.5000
O 0.5341 0.2803 0.5000
O 0.7197 0.2197 0.2538
O 0.7803 0.0341 0.5000
O 0.9659 0.4659 0.7462